! Ti5Ru4Rh PBE-GGA relaxed; values from VASP
&SYSTEM
  ibrav = 0, nat = 10, ntyp = 3
/
ATOMIC_SPECIES
Ti 47.87 Ti.upf
Ru 101.07 Ru.upf
Rh 102.91 Rh.upf
CELL_PARAMETERS angstrom
3.092 0.000 0.000
0.000 3.092 0.000
0.000 0.000 15.365
ATOMIC_POSITIONS angstrom
Ti 0.000 0.000 0.000
Ti 0.000 0.000 3.066
Ti 0.000 0.000 6.123
Ti 0.000 0.000 9.242
Ti 0.000 0.000 12.299
Ru 1.546 1.546 1.539
Ru 1.546 1.546 4.622
Ru 1.546 1.546 10.743
Ru 1.546 1.546 13.826
Rh 1.546 1.546 7.682
! symmetry: P4/mmm, No. 123
! calculated volume: 147 Å³ per cell
! energy of formation: -761 meV/atom

---

! CsTbSiO4 PBE-GGA relaxed; values from VASP
&SYSTEM
  ibrav = 0, nat = 14, ntyp = 4
/
ATOMIC_SPECIES
Cs 132.91 Cs.upf
Tb 158.93 Tb.upf
Si 28.09 Si.upf
O 16.00 O.upf
CELL_PARAMETERS angstrom
5.651 0.000 0.000
0.000 5.804 0.000
-2.547 0.000 7.685
ATOMIC_POSITIONS angstrom
Cs 0.024 1.451 3.299
Cs 3.080 4.353 4.386
Tb -0.843 1.451 7.389
Tb 3.947 4.353 0.297
Si 1.085 4.353 1.131
Si 2.019 1.451 6.554
O -2.065 4.353 7.281
O -0.225 4.353 2.113
O 2.134 3.067 1.272
O 2.134 5.639 1.272
O 0.970 0.165 6.413
O 0.970 2.737 6.413
O 3.329 1.451 5.573
O 5.169 1.451 0.404
! symmetry: P2_1/m, No. 11
! calculated volume: 252 Å³ per cell
! raw formation energy: -1950 kJ/mol of formula units

---

! Cr2Rh2C PBE-GGA relaxed; values from VASP
&SYSTEM
  ibrav = 0, nat = 5, ntyp = 3
/
ATOMIC_SPECIES
Cr 52.00 Cr.upf
Rh 102.91 Rh.upf
C 12.01 C.upf
CELL_PARAMETERS angstrom
1.385 0.800 8.662
-1.385 0.800 8.662
0.000 -1.600 8.662
ATOMIC_POSITIONS angstrom
Cr 0.000 0.000 3.187
Cr 0.000 0.000 22.798
Rh 0.000 0.000 9.821
Rh 0.000 0.000 16.164
C 0.000 0.000 12.993
! symmetry: R-3m, No. 166
! calculated volume: 58 Å³ per cell
! E above lowest polymorph: 0 meV/atom
! energy of formation: -106 meV/atom

---

! LiYMg2Ti PBE-GGA relaxed; values from VASP
&SYSTEM
  ibrav = 0, nat = 5, ntyp = 4
/
ATOMIC_SPECIES
Li 6.94 Li.upf
Y 88.91 Y.upf
Mg 24.30 Mg.upf
Ti 47.87 Ti.upf
CELL_PARAMETERS angstrom
5.798 0.000 0.000
0.000 5.798 0.000
0.000 0.000 4.877
ATOMIC_POSITIONS angstrom
Li 0.000 0.000 0.000
Y 2.899 2.899 2.439
Mg 0.000 2.899 2.439
Mg 2.899 0.000 2.439
Ti 2.899 2.899 0.000
! symmetry: P4/mmm, No. 123
! calculated volume: 164 Å³ per cell
! E above lowest polymorph: 392 meV/atom
! energy of formation: 1093 meV/atom

---

! ZrGaPb3 PBE-GGA relaxed; values from VASP
&SYSTEM
  ibrav = 0, nat = 5, ntyp = 3
/
ATOMIC_SPECIES
Zr 91.22 Zr.upf
Ga 69.72 Ga.upf
Pb 207.20 Pb.upf
CELL_PARAMETERS angstrom
5.377 0.000 0.000
0.000 5.377 0.000
0.000 0.000 5.377
ATOMIC_POSITIONS angstrom
Zr 0.000 0.000 0.000
Ga 2.688 2.688 2.688
Pb 0.000 2.688 2.688
Pb 2.688 0.000 2.688
Pb 2.688 2.688 0.000
! symmetry: Pm-3m, No. 221
! calculated volume: 155 Å³ per cell
! E above lowest polymorph: 346 meV/atom
! energy of formation: 737 meV/atom

---

! ZrRe2Ag PBE-GGA relaxed; values from VASP
&SYSTEM
  ibrav = 0, nat = 4, ntyp = 3
/
ATOMIC_SPECIES
Zr 91.22 Zr.upf
Re 186.21 Re.upf
Ag 107.87 Ag.upf
CELL_PARAMETERS angstrom
2.706 0.000 0.000
0.000 2.706 0.000
0.000 0.000 9.343
ATOMIC_POSITIONS angstrom
Zr 0.000 0.000 0.000
Re 1.353 1.353 2.407
Re 1.353 1.353 6.936
Ag 0.000 0.000 4.672
! symmetry: P4/mmm, No. 123
! calculated volume: 68 Å³ per cell
! E above lowest polymorph: 384 meV/atom
! energy of formation: 502 meV/atom

---

! Fe2H4Se PBE-GGA relaxed; values from VASP
&SYSTEM
  ibrav = 0, nat = 7, ntyp = 3
/
ATOMIC_SPECIES
Fe 55.84 Fe.upf
H 1.01 H.upf
Se 78.96 Se.upf
CELL_PARAMETERS angstrom
-1.625 1.625 8.740
1.625 -1.625 8.740
1.625 1.625 -8.740
ATOMIC_POSITIONS angstrom
Fe 0.000 0.000 3.883
Fe 0.000 0.000 13.598
H 1.625 0.000 0.000
H 0.000 0.000 5.508
H 0.000 1.625 0.000
H 0.000 0.000 11.973
Se 0.000 0.000 8.740
! DFT total energy: -4.271 eV/atom
! symmetry: I4/mmm, No. 139
! calculated volume: 92 Å³ per cell

---

! NpInI PBE-GGA relaxed; values from VASP
&SYSTEM
  ibrav = 0, nat = 6, ntyp = 3
/
ATOMIC_SPECIES
Np 237.00 Np.upf
In 114.82 In.upf
I 126.90 I.upf
CELL_PARAMETERS angstrom
3.564 0.000 0.000
0.000 5.500 0.000
0.014 2.742 9.582
ATOMIC_POSITIONS angstrom
Np 0.898 1.371 3.990
Np 2.680 6.871 5.592
In 0.898 4.121 6.006
In 2.680 4.121 3.576
I 0.898 6.871 8.110
I 2.679 1.371 1.472
! symmetry: P-1, No. 2
! calculated volume: 188 Å³ per cell
! raw formation energy: -72 kJ/mol of formula units

---

! Sr2UCd2As4 PBE-GGA relaxed; values from VASP
&SYSTEM
  ibrav = 0, nat = 9, ntyp = 4
/
ATOMIC_SPECIES
Sr 87.62 Sr.upf
U 238.03 U.upf
Cd 112.41 Cd.upf
As 74.92 As.upf
CELL_PARAMETERS angstrom
7.789 -2.141 0.000
7.789 2.141 0.000
-2.753 0.000 7.121
ATOMIC_POSITIONS angstrom
Sr 1.834 0.000 0.502
Sr 10.992 0.000 6.619
U -1.377 0.000 3.560
Cd 3.664 0.000 3.611
Cd 9.162 0.000 3.509
As 1.196 0.000 5.158
As 5.657 0.000 5.388
As 7.169 0.000 1.733
As 11.630 0.000 1.963
! symmetry: C2/m, No. 12
! calculated volume: 238 Å³ per cell
! energy of formation: -719 meV/atom

---

! Co2PbCl8 PBE-GGA relaxed; values from VASP
&SYSTEM
  ibrav = 0, nat = 22, ntyp = 3
/
ATOMIC_SPECIES
Co 58.93 Co.upf
Pb 207.20 Pb.upf
Cl 35.45 Cl.upf
CELL_PARAMETERS angstrom
9.176 -4.442 0.000
9.176 4.442 0.000
-7.927 0.000 9.292
ATOMIC_POSITIONS angstrom
Co -0.163 2.310 8.799
Co 6.624 2.310 5.139
Co 3.801 -2.310 4.153
Co 10.588 -2.310 0.493
Pb 3.230 0.060 6.969
Pb 7.194 -0.060 2.323
Cl 2.401 0.265 0.342
Cl 1.102 2.147 7.022
Cl -1.563 -0.265 4.988
Cl 5.398 1.918 3.313
Cl -1.575 0.608 8.931
Cl 8.990 1.918 1.333
Cl 5.359 2.147 6.916
Cl 2.389 -0.608 4.285
Cl 8.036 0.608 5.007
Cl 5.066 -2.147 2.376
Cl 1.434 -1.918 7.959
Cl 12.000 -0.608 0.361
Cl 5.026 -1.918 5.979
Cl 11.988 0.265 4.304
Cl 9.322 -2.147 2.270
Cl 8.024 -0.265 8.950
! symmetry: C2/c, No. 15
! calculated volume: 757 Å³ per cell
! raw formation energy: -713 kJ/mol of formula units

---

! Cr4FeP PBE-GGA relaxed; values from VASP
&SYSTEM
  ibrav = 0, nat = 6, ntyp = 3
/
ATOMIC_SPECIES
Cr 52.00 Cr.upf
Fe 55.84 Fe.upf
P 30.97 P.upf
CELL_PARAMETERS angstrom
0.000 3.304 3.304
3.304 0.000 3.304
3.304 3.304 0.000
ATOMIC_POSITIONS angstrom
Cr 0.826 0.826 0.826
Cr 2.478 2.478 0.826
Cr 2.478 0.826 2.478
Cr 0.826 2.478 2.478
Fe 4.956 4.956 4.956
P 3.304 3.304 3.304
! symmetry: F-43m, No. 216
! calculated volume: 72 Å³ per cell
! energy of formation: 364 meV/atom

---

! NbReW14 PBE-GGA relaxed; values from VASP
&SYSTEM
  ibrav = 0, nat = 16, ntyp = 3
/
ATOMIC_SPECIES
Nb 92.91 Nb.upf
Re 186.21 Re.upf
W 183.84 W.upf
CELL_PARAMETERS angstrom
3.195 -4.497 0.000
3.195 4.497 0.000
0.000 0.000 9.019
ATOMIC_POSITIONS angstrom
Nb 0.000 0.000 0.000
Re 3.195 0.000 0.000
W 0.000 0.000 4.510
W 1.597 2.248 0.000
W 1.597 2.248 4.510
W 3.195 2.246 2.254
W 3.195 2.246 6.765
W 1.603 0.000 2.266
W 1.603 0.000 6.753
W 1.597 -2.248 0.000
W 1.597 -2.248 4.510
W 3.195 0.000 4.510
W 4.787 0.000 2.266
W 4.787 0.000 6.753
W 3.195 -2.246 2.254
W 3.195 -2.246 6.765
! symmetry: Cmmm, No. 65
! calculated volume: 259 Å³ per cell
! energy of formation: -15 meV/atom